Entry from Alexandria: NiAgHAu2 after structural relaxation (PBE).

E_tot   -3.586 eV/atom
Symmetry   P4/mmm (123)
DOS at the Fermi energy   1.62 states/eV per cell
Crystal system   tetragonal

Cell lengths 4.5493, 4.5493, 3.3034 Å; angles 90.00, 90.00, 90.00 degrees
Closest atoms and distances in Å follow each position.
Element x y z (fractional)
Ni (0.0000, 0.0000, 0.0000)  2 H 1.65
Ag (0.5000, 0.5000, 0.0000)  8 Au 2.81
H (0.0000, 0.0000, 0.5000)  2 Ni 1.65
Au (0.0000, 0.5000, 0.5000)  2 H 2.27
Au (0.5000, 0.0000, 0.5000)  2 H 2.27